A relaxed structure of Rb2U3RuO12, computed with PBE.

## Properties
total magnetization: 2.00 μB per formula unit
ΔE_f (raw): -2.557 eV/atom

Cell lengths 7.591, 7.591, 7.591 Å; angles 62.78, 62.78, 62.78 degrees
Positions (direct):
1 Rb 0.129 0.129 0.129
2 Rb 0.871 0.871 0.871
3 U 0.000 0.500 0.500
4 U 0.500 0.000 0.500
5 U 0.500 0.500 0.000
6 Ru 0.500 0.500 0.500
7 O 0.178 0.178 0.561
8 O 0.178 0.561 0.178
9 O 0.200 0.558 0.558
10 O 0.439 0.822 0.822
11 O 0.442 0.442 0.800
12 O 0.442 0.800 0.442
13 O 0.558 0.200 0.558
14 O 0.558 0.558 0.200
15 O 0.561 0.178 0.178
16 O 0.800 0.442 0.442
17 O 0.822 0.439 0.822
18 O 0.822 0.822 0.439